The following is a DFT calculation (PBE) of crystalline Na3Mg3Cd8 at its relaxed geometry.

abc: 9.0168 9.0168 9.0168
angles: 147.94 109.75 79.32
Fractional coordinates of all 14 atoms:
Na: 0.0000 0.0000 0.0000
Na: 0.2912 0.2912 0.0000
Na: 0.7088 0.7088 0.0000
Mg: 0.3206 0.5000 0.8206
Mg: 0.5000 0.0000 0.5000
Mg: 0.6794 0.5000 0.1794
Cd: 0.0287 0.6684 0.3603
Cd: 0.1499 0.8743 0.2755
Cd: 0.3082 0.6684 0.6397
Cd: 0.4012 0.1257 0.2755
Cd: 0.5988 0.8743 0.7245
Cd: 0.6918 0.3316 0.3603
Cd: 0.8501 0.1257 0.7245
Cd: 0.9713 0.3316 0.6397

Values from the calculation:
**Density**: 4.8 g/cm3
**Total magnetization**: 0.000 Bohr magnetons per cell
**Energy of formation from the pure elements**: -0.06 eV per atom



The following is a DFT calculation (PBE) of crystalline RbCo2HgN at its relaxed geometry.

abc: 4.0250 4.0250 6.2340
angles: 90.00 90.00 90.00
Fractional coordinates of all 5 atoms:
Rb: 0.0000 0.0000 0.0000
Co: 0.0000 0.5000 0.5000
Co: 0.5000 0.0000 0.5000
Hg: 0.5000 0.5000 0.0000
N: 0.5000 0.5000 0.5000

Values from the calculation:
**Density**: 6.9 g/cm3
**E_form (uncorrected)**: 0.796 eV/atom
**Total magnetization**: 3.724 Bohr magnetons per cell



The following is a DFT calculation (PBE) of crystalline CuP2PdCl at its relaxed geometry.

abc: 4.4463 4.4463 4.7709
angles: 90.00 90.00 90.00
Fractional coordinates of all 5 atoms:
Cu: 0.0000 0.0000 0.0000
P: 0.0000 0.5000 0.0000
P: 0.5000 0.0000 0.0000
Pd: 0.5000 0.5000 0.5000
Cl: 0.0000 0.0000 0.5000

Values from the calculation:
**Density**: 4.7 g/cm3
**E_form (uncorrected)**: 0.751 eV/atom
**Excess energy over the best structure of this formula in the dataset**: 0.000 eV per atom
**Total magnetization**: 0.000 Bohr magnetons per cell



The following is a DFT calculation (PBE) of crystalline CsNdCd2 at its relaxed geometry.

abc: 3.9856 3.9856 9.2001
angles: 90.00 90.00 90.00
Fractional coordinates of all 4 atoms:
Cs: 0.0000 0.0000 0.0000
Nd: 0.0000 0.0000 0.5000
Cd: 0.5000 0.5000 0.3128
Cd: 0.5000 0.5000 0.6872

Values from the calculation:
**Density**: 5.7 g/cm3
**Total magnetization**: 0.437 Bohr magnetons per cell
**Energy of formation from the pure elements**: -0.08 eV per atom



The following is a DFT calculation (PBE) of crystalline Co2NiS at its relaxed geometry.

abc: 6.3272 6.3272 6.3272
angles: 134.93 134.93 65.64
Fractional coordinates of all 8 atoms:
Co: 0.0954 0.6250 0.9704
Co: 0.3750 0.3454 0.4704
Co: 0.6546 0.1250 0.0296
Co: 0.8750 0.9046 0.5296
Ni: 0.2500 0.7500 0.5000
Ni: 0.5000 0.5000 0.0000
S: 0.0000 0.0000 0.0000
S: 0.7500 0.2500 0.5000

Values from the calculation:
**Density**: 5.5 g/cm3
**E_form (uncorrected)**: 0.508 eV/atom
**Total magnetization**: 4.229 Bohr magnetons per cell



The following is a DFT calculation (PBE) of crystalline SbPdRuRh at its relaxed geometry.

abc: 4.4757 4.4757 4.4757
angles: 60.00 60.00 60.00
Fractional coordinates of all 4 atoms:
Sb: 0.0000 0.0000 0.0000
Pd: 0.5000 0.5000 0.5000
Ru: 0.7500 0.7500 0.7500
Rh: 0.2500 0.2500 0.2500

Values from the calculation:
**Density**: 11.3 g/cm3
**E_form (uncorrected)**: -0.081 eV/atom
**Total magnetization**: 0.174 Bohr magnetons per cell